Computed, not measured: crystalline CoRe2Mo at its relaxed geometry at the PBE level of DFT.

Properties
DFT formation energy = 113 meV per atom
Space-group type = P4mm, No. 99
N(E_F) = 4.74 states/eV/cell

Cell lengths 2.721, 2.721, 7.631 Å; angles 90.00, 90.00, 90.00 degrees
Atoms (fractional coordinates):
1 Co 0.000 0.000 0.000
2 Re 0.000 0.000 0.513
3 Re 0.500 0.500 0.769
4 Mo 0.500 0.500 0.238



Computed, not measured: crystalline SnOs2S at its relaxed geometry at the PBE level of DFT.

Properties
Space-group type = I-42d, No. 122
N(E_F) = 5.05 states/eV/cell
Total energy = -55.698 eV/cell

Cell lengths 6.515, 6.515, 6.515 Å; angles 127.32, 127.32, 77.73 degrees
Atoms (fractional coordinates):
1 Sn 0.000 0.000 0.000
2 Sn 0.750 0.250 0.500
3 Os 0.187 0.625 0.062
4 Os 0.375 0.437 0.562
5 Os 0.563 0.125 0.938
6 Os 0.875 0.813 0.438
7 S 0.250 0.750 0.500
8 S 0.500 0.500 0.000



Computed, not measured: crystalline HoGa3Fe3 at its relaxed geometry at the PBE level of DFT.

Properties
DFT formation energy = -130 meV per atom
Space-group type = P6_3/m, No. 176
N(E_F) = 11.73 states/eV/cell

Cell lengths 7.835, 7.835, 4.227 Å; angles 90.00, 90.00, 120.00 degrees
Atoms (fractional coordinates):
1 Ho 0.333 0.667 0.250
2 Ho 0.667 0.333 0.750
3 Ga 0.069 0.405 0.750
4 Ga 0.336 0.931 0.750
5 Ga 0.405 0.336 0.250
6 Ga 0.595 0.664 0.750
7 Ga 0.664 0.069 0.250
8 Ga 0.931 0.595 0.250
9 Fe 0.028 0.200 0.250
10 Fe 0.172 0.972 0.250
11 Fe 0.200 0.172 0.750
12 Fe 0.800 0.828 0.250
13 Fe 0.828 0.028 0.750
14 Fe 0.972 0.800 0.750



Computed, not measured: crystalline Tl2AgIr2 at its relaxed geometry at the PBE level of DFT.

Properties
DFT formation energy = 455 meV per atom
Space-group type = P4/mbm, No. 127
N(E_F) = 5.03 states/eV/cell

Cell lengths 7.735, 7.735, 3.241 Å; angles 90.00, 90.00, 90.00 degrees
Atoms (fractional coordinates):
1 Tl 0.171 0.329 0.000
2 Tl 0.329 0.829 0.000
3 Tl 0.671 0.171 0.000
4 Tl 0.829 0.671 0.000
5 Ag 0.000 0.000 0.500
6 Ag 0.500 0.500 0.500
7 Ir 0.129 0.629 0.500
8 Ir 0.371 0.129 0.500
9 Ir 0.629 0.871 0.500
10 Ir 0.871 0.371 0.500



Computed, not measured: crystalline K2ReAg at its relaxed geometry at the PBE level of DFT.

Properties
DFT formation energy = 1224 meV per atom
Space-group type = P2/m, No. 10
N(E_F) = 3.20 states/eV/cell

Cell lengths 2.771, 5.591, 6.177 Å; angles 90.00, 90.37, 90.00 degrees
Atoms (fractional coordinates):
1 K 0.001 0.000 0.254
2 K 0.999 0.000 0.746
3 Re 0.500 0.500 0.500
4 Ag 0.500 0.500 0.000



Computed, not measured: crystalline Tb14SmSc at its relaxed geometry at the PBE level of DFT.

Properties
DFT formation energy = 21 meV per atom
Space-group type = P4/mmm, No. 123
N(E_F) = 19.66 states/eV/cell

Cell lengths 7.100, 7.100, 10.010 Å; angles 90.00, 90.00, 90.00 degrees
Atoms (fractional coordinates):
1 Tb 0.000 0.000 0.000
2 Tb 0.000 0.500 0.000
3 Tb 0.000 0.500 0.500
4 Tb 0.248 0.248 0.252
5 Tb 0.248 0.248 0.748
6 Tb 0.248 0.752 0.252
7 Tb 0.248 0.752 0.748
8 Tb 0.500 0.000 0.000
9 Tb 0.500 0.000 0.500
10 Tb 0.500 0.500 0.000
11 Tb 0.752 0.248 0.252
12 Tb 0.752 0.248 0.748
13 Tb 0.752 0.752 0.252
14 Tb 0.752 0.752 0.748
15 Sm 0.500 0.500 0.500
16 Sc 0.000 0.000 0.500



Computed, not measured: crystalline Cs2LiHg6Au at its relaxed geometry at the PBE level of DFT.

Properties
DFT formation energy = -230 meV per atom
Space-group type = C2/m, No. 12
N(E_F) = 4.54 states/eV/cell

Cell lengths 7.876, 7.876, 7.818 Å; angles 119.71, 119.71, 90.02 degrees
Atoms (fractional coordinates):
1 Cs 0.250 0.750 0.000
2 Cs 0.750 0.250 0.000
3 Li 0.000 0.000 0.500
4 Hg 0.243 0.243 0.501
5 Hg 0.243 0.757 0.500
6 Hg 0.244 0.244 0.986
7 Hg 0.756 0.756 0.014
8 Hg 0.757 0.243 0.500
9 Hg 0.757 0.757 0.499
10 Au 0.500 0.500 0.500



Computed, not measured: crystalline CuPd2Au at its relaxed geometry at the PBE level of DFT.

Properties
DFT formation energy = -48 meV per atom
Space-group type = R3m, No. 160
N(E_F) = 2.68 states/eV/cell

Cell lengths 9.142, 9.142, 9.142 Å; angles 17.70, 17.70, 17.70 degrees
Atoms (fractional coordinates):
1 Cu 0.000 0.000 0.000
2 Pd 0.410 0.410 0.410
3 Pd 0.589 0.589 0.589
4 Au 0.833 0.833 0.833



Computed, not measured: crystalline BeCu2Ru at its relaxed geometry at the PBE level of DFT.

Properties
DFT formation energy = 117 meV per atom
Space-group type = Imm2, No. 44
N(E_F) = 2.50 states/eV/cell

Cell lengths 4.850, 4.850, 4.850 Å; angles 148.61, 127.27, 62.67 degrees
Atoms (fractional coordinates):
1 Be 0.000 0.000 0.000
2 Cu 0.516 0.516 0.000
3 Cu 0.778 0.278 0.500
4 Ru 0.237 0.737 0.500



Computed, not measured: crystalline BaGeI at its relaxed geometry at the PBE level of DFT.

Properties
Space-group type = C2/m, No. 12
N(E_F) = 0.73 states/eV/cell
Total energy = -22.465 eV/cell

Cell lengths 4.601, 4.601, 13.668 Å; angles 99.57, 99.57, 60.06 degrees
Atoms (fractional coordinates):
1 Ba 0.062 0.062 0.190
2 Ba 0.938 0.938 0.810
3 Ge 0.344 0.344 0.031
4 Ge 0.656 0.656 0.969
5 I 0.219 0.219 0.652
6 I 0.781 0.781 0.348



Computed, not measured: crystalline Tb2Se2Cl at its relaxed geometry at the PBE level of DFT.

Properties
Space-group type = C2/m, No. 12
N(E_F) = 3.33 states/eV/cell
Total energy = -55.425 eV/cell

Cell lengths 7.036, 7.036, 8.139 Å; angles 109.37, 109.37, 47.84 degrees
Atoms (fractional coordinates):
1 Tb 0.006 0.006 0.245
2 Tb 0.336 0.336 0.921
3 Tb 0.664 0.664 0.079
4 Tb 0.994 0.994 0.755
5 Se 0.175 0.175 0.096
6 Se 0.490 0.490 0.739
7 Se 0.510 0.510 0.261
8 Se 0.825 0.825 0.904
9 Cl 0.153 0.153 0.597
10 Cl 0.847 0.847 0.403



Computed, not measured: crystalline ZnW2Cl at its relaxed geometry at the PBE level of DFT.

Properties
Space-group type = P4/mmm, No. 123
N(E_F) = 2.84 states/eV/cell
Total energy = -25.460 eV/cell

Cell lengths 3.239, 3.239, 6.702 Å; angles 90.00, 90.00, 90.00 degrees
Atoms (fractional coordinates):
1 Zn 0.000 0.000 0.000
2 W 0.500 0.500 0.183
3 W 0.500 0.500 0.817
4 Cl 0.000 0.000 0.500